A) TaIn3Si: relaxed, PBE.

Lattice parameters (Å, degrees): 5.3869 5.3869 5.3869 90.00 90.00 90.00
Last column: nearest neighbours and their distance in Å.
Fractional coordinates of all 5 atoms:
Si 0.5000 0.5000 0.5000  12 In 3.81
In 0.0000 0.5000 0.0000  2 Ta 2.69
In 0.0000 0.0000 0.5000  2 Ta 2.69
In 0.5000 0.0000 0.0000  2 Ta 2.69
Ta 0.0000 0.0000 0.0000  6 In 2.69

B) TaIn3Si: relaxed, PBE.

Lattice parameters (Å, degrees): 5.0832 5.0832 5.0832 90.00 90.00 90.00
Last column: nearest neighbours and their distance in Å.
Fractional coordinates of all 5 atoms:
Si 0.0000 0.0000 0.0000  6 In 2.54
In 0.0000 0.5000 0.0000  2 Si 2.54
In 0.0000 0.0000 0.5000  2 Si 2.54
In 0.5000 0.0000 0.0000  2 Si 2.54
Ta 0.5000 0.5000 0.5000  12 In 3.59

The structure with the most favorable energy is A); the runner-up is 0.139 eV/atom above it.

A) InSiTc: relaxed, PBE.

Lattice parameters (Å, degrees): 5.0194 3.3198 6.4024 90.00 99.70 90.00
Last column: nearest neighbours and their distance in Å.
Fractional coordinates of all 6 atoms:
Si 0.1076 0.0000 0.1402  4 Tc 2.45-2.58, 2 Si 2.49
Si 0.7683 0.5000 0.9734  4 Tc 2.45-2.58, 2 Si 2.49
Tc 0.2602 0.5000 0.9044  4 Si 2.45-2.58
Tc 0.6152 0.0000 0.2092  4 Si 2.45-2.58
In 0.4781 0.5000 0.5290  3 Tc 2.80-2.81, 1 Si 2.97, 4 In 3.03
In 0.9906 0.0000 0.5834  3 Tc 2.79-2.81, 1 Si 2.99, 4 In 3.03

B) InSiTc: relaxed, PBE.

Lattice parameters (Å, degrees): 3.9517 2.9757 19.3019 90.00 96.86 90.00
Last column: nearest neighbours and their distance in Å.
Fractional coordinates of all 12 atoms:
Si 0.1291 0.0000 0.8010  5 Tc 2.48-2.49, 2 Si 2.58
Si 0.8709 0.0000 0.1990  5 Tc 2.48-2.49, 2 Si 2.58
Si 0.1291 0.5000 0.3010  5 Tc 2.48-2.49, 2 Si 2.58
Si 0.8709 0.5000 0.6990  5 Tc 2.48-2.49, 2 Si 2.58
Tc 0.3616 0.0000 0.6865  5 Si 2.48-2.49
Tc 0.6384 0.0000 0.3135  5 Si 2.48-2.49
Tc 0.3616 0.5000 0.1865  5 Si 2.48-2.49
Tc 0.6384 0.5000 0.8135  5 Si 2.48-2.49
In 0.2846 0.0000 0.0599  2 Tc 2.85, 4 In 2.98-3.03
In 0.7154 0.0000 0.9401  2 Tc 2.85, 4 In 2.98-3.03
In 0.2846 0.5000 0.5599  2 Tc 2.85, 4 In 2.98-3.03
In 0.7154 0.5000 0.4401  2 Tc 2.85, 4 In 2.98-3.03

The structure with the most favorable energy is A); the runner-up is 0.016 eV/atom above it.

A) InSiTc: relaxed, PBE.

Lattice parameters (Å, degrees): 4.1271 4.1271 3.5301 90.00 90.00 120.00
Last column: nearest neighbours and their distance in Å.
Fractional coordinates of all 3 atoms:
In 0.0000 0.0000 0.9999  6 Tc 2.96-2.97, 6 Si 2.97
Si 0.6667 0.3333 0.4999  3 Tc 2.38
Tc 0.3333 0.6667 0.5001  3 Si 2.38

B) InSiTc: relaxed, PBE.

Lattice parameters (Å, degrees): 3.0612 3.0612 6.4418 90.00 90.00 120.00
Last column: nearest neighbours and their distance in Å.
Fractional coordinates of all 3 atoms:
In 0.0000 0.0000 0.9896  3 Tc 2.89, 3 Si 3.05, 6 In 3.06
Si 0.6667 0.3333 0.3761  3 Tc 2.43
Tc 0.3333 0.6667 0.6343  3 Si 2.43

C) InSiTc: relaxed, PBE.

Lattice parameters (Å, degrees): 9.1236 3.0331 8.6876 90.00 110.63 90.00
Last column: nearest neighbours and their distance in Å.
Fractional coordinates of all 12 atoms:
Si 0.8740 0.0000 0.5319  5 Tc 2.39-2.56, 1 Si 2.55
Si 0.1260 0.0000 0.4681  5 Tc 2.39-2.56, 1 Si 2.55
Si 0.8740 0.5000 0.0319  5 Tc 2.39-2.56, 1 Si 2.55
Si 0.1260 0.5000 0.9681  5 Tc 2.39-2.56, 1 Si 2.55
Tc 0.1056 0.0000 0.1863  5 Si 2.39-2.56
Tc 0.8944 0.0000 0.8137  5 Si 2.39-2.56
Tc 0.1056 0.5000 0.6863  5 Si 2.39-2.56
Tc 0.8944 0.5000 0.3137  5 Si 2.39-2.56
In 0.3788 0.0000 0.8382  2 Tc 2.82, 3 In 2.90-3.03
In 0.6212 0.0000 0.1618  2 Tc 2.82, 3 In 2.90-3.03
In 0.3788 0.5000 0.3382  2 Tc 2.82, 3 In 2.90-3.03
In 0.6212 0.5000 0.6618  2 Tc 2.82, 3 In 2.90-3.03

D) InSiTc: relaxed, PBE.

Lattice parameters (Å, degrees): 3.1758 3.2370 10.5936 98.75 90.02 90.00
Last column: nearest neighbours and their distance in Å.
Fractional coordinates of all 6 atoms:
Si 0.5463 0.8258 0.7225  4 Tc 2.47
Si 0.0460 0.6912 0.4523  6 Tc 2.46-2.47
Tc 0.5459 0.1451 0.3599  4 Si 2.47
Tc 0.0461 0.2793 0.6288  6 Si 2.46-2.47
In 0.0481 0.4149 0.9055  3 In 2.88-3.18, 1 Tc 2.90, 4 Si 2.96-2.98
In 0.0452 0.5561 0.1803  1 Si 2.85, 3 In 2.88-3.18, 4 Tc 2.94-2.95

The structure with the most favorable energy is C); the runner-up is 0.027 eV/atom above it.

A) InSiTc3: relaxed, PBE.

Lattice parameters (Å, degrees): 4.8472 4.8472 4.8472 90.00 90.00 90.00
Last column: nearest neighbours and their distance in Å.
Fractional coordinates of all 5 atoms:
Si 0.5000 0.5000 0.5000  12 Tc 3.43
Tc 0.0000 0.5000 0.0000  2 In 2.42
Tc 0.0000 0.0000 0.5000  2 In 2.42
Tc 0.5000 0.0000 0.0000  2 In 2.42
In 0.0000 0.0000 0.0000  6 Tc 2.42

B) InSiTc3: relaxed, PBE.

Lattice parameters (Å, degrees): 4.4532 4.4532 4.4532 90.00 90.00 90.00
Last column: nearest neighbours and their distance in Å.
Fractional coordinates of all 5 atoms:
Si 0.0000 0.0000 0.0000  6 Tc 2.23
Tc 0.0000 0.5000 0.0000  2 Si 2.23
Tc 0.0000 0.0000 0.5000  2 Si 2.23
Tc 0.5000 0.0000 0.0000  2 Si 2.23
In 0.5000 0.5000 0.5000  12 Tc 3.15

The structure with the most favorable energy is B); the runner-up is 1.805 eV/atom above it.